Entry 1:
4
Lattice="-3.375 2.488 2.428 -4.592 -1.546 0.036 -1.908 -1.831 4.060" Properties=species:S:1:pos:R:3 comment="LiAgSnAs PBE optimized geometry" e_tot_ev_per_atom=-3.4525 delta_e_f_ev_per_atom=-0.098 n_ef_per_ev_cell=1.56 m_tot_mub_per_fu=0.00 pbc="T T T"
Li -7.406 -0.667 4.893
Ag -2.469 -0.222 1.631
Sn -4.937 -0.445 3.262
As 0.000 0.000 0.000

***

Entry 2:
10
Lattice="-0.667 -2.287 3.717 4.343 0.022 0.793 -1.115 9.817 5.841" Properties=species:S:1:pos:R:3 comment="Sr2LiAg3As4 PBE optimized geometry" e_tot_ev_per_atom=-3.7847 delta_e_f_ev_per_atom=-0.542 n_ef_per_ev_cell=4.24 m_tot_mub_per_fu=0.00 pbc="T T T"
As 1.838 -1.133 2.255
As 1.766 3.587 2.524
As 0.000 0.000 0.000
As -1.042 5.097 5.572
Sr -0.623 1.407 3.376
Sr 1.347 7.277 4.720
Ag -0.557 4.908 2.920
Ag -1.293 7.308 6.887
Ag 2.017 1.376 1.209
Li 1.281 3.775 5.175